This record from Alexandria via LeMat-Bulk describes a relaxed Tb3PrTm2Se6 crystal. The functional is GGA-PBE.

Calculated values
magnetic moment = 0.0 μB/cell
calculated density = 8.1 g/cm³
space-group type = C2/m (12)
total DFT energy (no corrections) = -5.79 eV/atom

a b c (Å): 7.1138 7.1138 7.0872
angles (deg): 99.57 99.57 120.24
Last column: nearest neighbours and their distance in Å.
Sites, in units of the cell vectors:
1 Se 0.9167 0.5673 0.7478  2 Tm 2.86-2.87, 3 Tb 2.89-2.94, 1 Pr 3.00
2 Se 0.4327 0.0833 0.2522  2 Tm 2.86-2.87, 3 Tb 2.89-2.94, 1 Pr 3.00
3 Se 0.7332 0.7332 0.2440  2 Tm 2.82, 3 Tb 2.83-2.88, 1 Pr 2.96
4 Se 0.2668 0.2668 0.7560  2 Tm 2.82, 3 Tb 2.83-2.88, 1 Pr 2.96
5 Se 0.0833 0.4327 0.2522  2 Tm 2.86-2.87, 3 Tb 2.89-2.94, 1 Pr 3.00
6 Se 0.5673 0.9167 0.7478  2 Tm 2.86-2.87, 3 Tb 2.89-2.94, 1 Pr 3.00
7 Tb 0.8439 0.1561 0.5000  6 Se 2.88-2.94
8 Tb 0.5000 0.5000 0.5000  6 Se 2.83-2.94
9 Tb 0.1561 0.8439 0.5000  6 Se 2.88-2.94
10 Pr 0.0000 0.0000 0.0000  6 Se 2.96-3.00
11 Tm 0.3347 0.6653 0.0000  6 Se 2.82-2.87
12 Tm 0.6653 0.3347 0.0000  6 Se 2.82-2.87